DFT (PBE+U) results for VPb2O2F4 after structural relaxation.

Total DFT energy (no corrections): -51.2 eV per cell
SG: No. 12

Lattice parameters (Å, degrees): 4.582 5.631 5.631 61.76 83.69 83.69
Positions (direct):
V1 0.500 0.000 0.000
Pb1 0.215 0.689 0.689
Pb2 0.785 0.311 0.311
O1 0.241 0.158 0.158
O2 0.759 0.842 0.842
F1 0.282 0.663 0.161
F2 0.718 0.839 0.337
F3 0.718 0.337 0.839
F4 0.282 0.161 0.663

DFT (PBE+U) results for V3Pb5O12F after structural relaxation.

Total DFT energy (no corrections): -275.9 eV per cell
SG: No. 176

Lattice parameters (Å, degrees): 10.393 10.393 7.287 90.00 90.00 120.00
Positions (direct):
V1 0.023 0.613 0.750
V2 0.387 0.409 0.750
V3 0.591 0.977 0.750
V4 0.977 0.387 0.250
V5 0.613 0.591 0.250
V6 0.409 0.023 0.250
Pb1 0.667 0.333 0.507
Pb2 0.333 0.667 0.007
Pb3 0.333 0.667 0.493
Pb4 0.667 0.333 0.993
Pb5 0.219 0.975 0.750
Pb6 0.025 0.244 0.750
Pb7 0.756 0.781 0.750
Pb8 0.781 0.025 0.250
Pb9 0.975 0.756 0.250
Pb10 0.244 0.219 0.250
O1 0.830 0.500 0.750
O2 0.500 0.330 0.750
O3 0.670 0.170 0.750
O4 0.170 0.500 0.250
O5 0.500 0.670 0.250
O6 0.330 0.830 0.250
O7 0.113 0.508 0.750
O8 0.492 0.605 0.750
O9 0.395 0.887 0.750
O10 0.887 0.492 0.250
O11 0.508 0.395 0.250
O12 0.605 0.113 0.250
O13 0.085 0.733 0.562
O14 0.267 0.352 0.562
O15 0.648 0.915 0.562
O16 0.915 0.267 0.062
O17 0.733 0.648 0.062
O18 0.352 0.085 0.062
O19 0.915 0.267 0.438
O20 0.733 0.648 0.438
O21 0.352 0.085 0.438
O22 0.085 0.733 0.938
O23 0.267 0.352 0.938
O24 0.648 0.915 0.938
F1 0.000 0.000 0.500
F2 0.000 0.000 0.000

DFT (PBE+U) results for VPb2O4F after structural relaxation.

Total DFT energy (no corrections): -48.7 eV per cell
SG: No. 12

Lattice parameters (Å, degrees): 3.155 5.267 8.369 86.89 79.13 72.57
Positions (direct):
V1 0.000 0.000 0.000
Pb1 0.849 0.554 0.747
Pb2 0.151 0.446 0.253
O1 0.158 0.898 0.786
O2 0.398 0.243 0.962
O3 0.842 0.102 0.214
O4 0.602 0.757 0.038
F1 0.500 0.500 0.500

DFT (PBE+U) results for VPbOF2 after structural relaxation.

Total DFT energy (no corrections): -24.4 eV per cell
SG: No. 123

Lattice parameters (Å, degrees): 4.639 4.639 4.406 90.00 90.00 90.00
Positions (direct):
Pb1 0.000 0.000 0.000
F1 0.000 0.500 0.000
F2 0.500 0.000 0.000
O1 0.000 0.000 0.500
V1 0.500 0.500 0.500

DFT (PBE+U) results for VPbOF5 after structural relaxation.

Total DFT energy (no corrections): -178.4 eV per cell
SG: No. 57

Lattice parameters (Å, degrees): 5.018 9.465 10.090 90.00 90.00 90.00
Positions (direct):
V1 0.108 0.250 0.450
V2 0.892 0.750 0.550
V3 0.108 0.750 0.050
V4 0.892 0.250 0.950
Pb1 0.446 0.000 0.750
Pb2 0.554 0.500 0.250
Pb3 0.554 0.000 0.250
Pb4 0.446 0.500 0.750
O1 0.863 0.250 0.552
O2 0.137 0.750 0.448
O3 0.863 0.750 0.948
O4 0.137 0.250 0.052
F1 0.557 0.750 0.687
F2 0.443 0.250 0.313
F3 0.557 0.250 0.813
F4 0.443 0.750 0.187
F5 0.011 0.111 0.832
F6 0.989 0.611 0.168
F7 0.011 0.889 0.668
F8 0.989 0.389 0.332
F9 0.989 0.889 0.168
F10 0.011 0.389 0.832
F11 0.989 0.111 0.332
F12 0.011 0.611 0.668
F13 0.317 0.110 0.531
F14 0.683 0.610 0.469
F15 0.317 0.890 0.969
F16 0.683 0.390 0.031
F17 0.683 0.890 0.469
F18 0.317 0.390 0.531
F19 0.683 0.110 0.031
F20 0.317 0.610 0.969

DFT (PBE+U) results for PbWO2F after structural relaxation.

Total DFT energy (no corrections): -23.5 eV per cell
SG: No. 123

Lattice parameters (Å, degrees): 4.360 4.360 4.395 90.00 90.00 90.00
Positions (direct):
Pb1 0.000 0.000 0.000
O1 0.000 0.500 0.000
O2 0.500 0.000 0.000
W1 0.500 0.500 0.500
F1 0.000 0.000 0.500

DFT (PBE+U) results for PbWO2F after structural relaxation.

Total DFT energy (no corrections): -30.2 eV per cell
SG: No. 123

Lattice parameters (Å, degrees): 4.292 4.292 4.204 90.00 90.00 90.00
Positions (direct):
Pb1 0.500 0.500 0.500
O1 0.000 0.500 0.000
O2 0.500 0.000 0.000
W1 0.000 0.000 0.000
F1 0.000 0.000 0.500